Here is a geometry-optimized MnBe2Fe structure from the Alexandria database. Energies are from PBE.

Cell lengths 8.1762, 2.7419, 3.6781 Å; angles 90.00, 116.58, 90.00 degrees
Closest atoms and distances in Å follow each position.
Space group Cm (No. 8)
Symmetry-distinct sites (fractional):
Mn 0.0000 0.0000 0.0000  8 Be 2.29-2.55, 4 Fe 2.32-2.57
Be 0.0121 0.5000 0.5123  2 Be 2.16, 4 Mn 2.29-2.30, 2 Fe 2.32
Be 0.2412 0.0000 0.7393  2 Be 2.16, 4 Fe 2.30, 2 Mn 2.34
Fe 0.2562 0.5000 0.2545  8 Be 2.30-2.56, 4 Mn 2.32-2.57

Calculated values
Calculated formation energy (eV per atom): -0.078
DFT total energy (eV for the cell shown): -50.79
Calculated density (g/cm³): 5.8

***

Here is a geometry-optimized SnBiSb2 structure from the Alexandria database. Energies are from PBE.

Cell lengths 5.7324, 5.7324, 3.5032 Å; angles 90.00, 90.00, 90.00 degrees
Closest atoms and distances in Å follow each position.
Space group P4/mmm (No. 123)
Symmetry-distinct sites (fractional):
Sn 0.0000 0.0000 0.0000  8 Sb 3.36, 2 Sn 3.50
Bi 0.5000 0.5000 0.0000  8 Sb 3.36, 2 Bi 3.50
Sb 0.0000 0.5000 0.5000  4 Sn 3.36, 4 Bi 3.36, 2 Sb 3.50

Calculated values
Offset from the most stable computed form (meV/atom): 149
DFT total energy (eV for the cell shown): -15.43
Calculated density (g/cm³): 8.2

***

Here is a geometry-optimized Sm7DyCd4 structure from the Alexandria database. Energies are from PBE.

Cell lengths 14.9373, 5.7971, 9.8968 Å; angles 90.00, 121.98, 90.00 degrees
Closest atoms and distances in Å follow each position.
Space group C2/m (No. 12)
Symmetry-distinct sites (fractional):
Sm 0.0000 0.0000 0.0000  2 Dy 2.90, 4 Cd 3.02-3.21
Sm 0.0703 0.5000 0.4101  3 Cd 3.19-3.24, 3 Sm 3.40-3.55
Sm 0.2043 0.5000 0.8816  4 Cd 3.45-3.80, 6 Sm 3.52-3.81, 1 Dy 3.80
Sm 0.2375 0.0000 0.6940  4 Cd 3.03-3.24
Dy 0.0000 0.5000 0.0000  2 Sm 2.90
Cd 0.0411 0.0000 0.7125  4 Sm 3.03-3.24, 1 Cd 3.07
Cd 0.1812 0.0000 0.3426  5 Sm 3.02-3.24, 1 Cd 3.07

Calculated values
Calculated formation energy (eV per atom): -0.014
DFT total energy (eV for the cell shown): -82.93
Calculated density (g/cm³): 7.6

***

Here is a geometry-optimized UReRu2 structure from the Alexandria database. Energies are from PBE.

Cell lengths 2.7912, 2.7912, 28.3910 Å; angles 90.00, 90.00, 120.00 degrees
Closest atoms and distances in Å follow each position.
Space group R-3m (No. 166, hexagonal axes)
Symmetry-distinct sites (fractional):
U 0.0000 0.0000 0.0000  6 U 2.79, 6 Ru 3.03
Re 0.0000 0.0000 0.5000  6 Ru 2.70, 6 Re 2.79
Ru 0.0000 0.0000 0.2428  3 Re 2.70, 6 Ru 2.79

Calculated values
Calculated formation energy (eV per atom): 0.137
Offset from the most stable computed form (meV/atom): 276
DFT total energy (eV for the cell shown): -125.22
Calculated density (g/cm³): 16.3

***

Here is a geometry-optimized SmNi4Sn structure from the Alexandria database. Energies are from PBE.

Cell lengths 7.1247, 7.1247, 7.1247 Å; angles 90.00, 90.00, 90.00 degrees
Closest atoms and distances in Å follow each position.
Space group F-43m (No. 216)
Symmetry-distinct sites (fractional):
Sm 0.0000 0.0000 0.0000  12 Ni 2.96, 4 Sn 3.09
Ni 0.1242 0.1242 0.6242  6 Ni 2.50-2.53
Sn 0.2500 0.2500 0.2500  12 Ni 2.95, 4 Sm 3.09

Calculated values
Calculated formation energy (eV per atom): -0.334
DFT total energy (eV for the cell shown): -135.42
Calculated density (g/cm³): 9.3

***

Here is a geometry-optimized AlIrSe2Br structure from the Alexandria database. Energies are from PBE.

Cell lengths 4.8730, 4.8730, 4.7633 Å; angles 90.00, 90.00, 90.00 degrees
Closest atoms and distances in Å follow each position.
Space group P4/mmm (No. 123)
Symmetry-distinct sites (fractional):
Al 0.0000 0.0000 0.0000  2 Br 2.38, 4 Se 2.44
Ir 0.5000 0.5000 0.5000  8 Se 3.41, 4 Br 3.45
Se 0.0000 0.5000 0.0000  2 Al 2.44
Br 0.0000 0.0000 0.5000  2 Al 2.38

Calculated values
Offset from the most stable computed form (meV/atom): 449
DFT total energy (eV for the cell shown): -17.12
Calculated density (g/cm³): 6.7

***

Here is a geometry-optimized Sc2FeSnC structure from the Alexandria database. Energies are from PBE.

Cell lengths 4.5877, 4.5877, 3.8752 Å; angles 90.00, 90.00, 90.00 degrees
Closest atoms and distances in Å follow each position.
Space group P4/mmm (No. 123)
Symmetry-distinct sites (fractional):
Sc 0.0000 0.5000 0.0000  2 C 2.29
Fe 0.0000 0.0000 0.5000  2 C 1.94
Sn 0.5000 0.5000 0.5000  8 Sc 3.00, 4 Fe 3.24
C 0.0000 0.0000 0.0000  2 Fe 1.94

Calculated values
Calculated formation energy (eV per atom): -0.462
DFT total energy (eV for the cell shown): -36.66
Calculated density (g/cm³): 5.6

***

Here is a geometry-optimized Dy6Y3Er2Tl structure from the Alexandria database. Energies are from PBE.

Cell lengths 6.1012, 10.5816, 11.6112 Å; angles 90.00, 100.20, 90.00 degrees
Closest atoms and distances in Å follow each position.
Space group C2/m (No. 12)
Symmetry-distinct sites (fractional):
Dy 0.2460 0.1651 0.2458  1 Tl 3.45, 2 Er 3.48, 6 Dy 3.49-3.54, 3 Y 3.54-3.56
Dy 0.2491 0.0000 0.7527  1 Tl 3.48, 2 Er 3.48, 6 Dy 3.49-3.54, 3 Y 3.53-3.54
Y 0.0000 0.1666 0.5000  6 Y 3.52-3.53, 6 Dy 3.53-3.56
Y 0.0000 0.5000 0.5000  6 Y 3.52-3.53, 6 Dy 3.54
Er 0.0000 0.3341 0.0000  6 Dy 3.48, 3 Er 3.51-3.53, 3 Tl 3.52-3.54
Tl 0.0000 0.0000 0.0000  6 Dy 3.45-3.48, 6 Er 3.52-3.54

Calculated values
Calculated formation energy (eV per atom): -0.008
DFT total energy (eV for the cell shown): -117.18
Calculated density (g/cm³): 8.0

***

Here is a geometry-optimized CrSeBr2 structure from the Alexandria database. Energies are from PBE.

Cell lengths 6.2133, 3.4863, 6.4949 Å; angles 90.00, 117.53, 90.00 degrees
Closest atoms and distances in Å follow each position.
Space group Pm (No. 6)
Symmetry-distinct sites (fractional):
Cr 0.0000 0.0000 0.0000  3 Br 2.33-2.56, 2 Se 2.36
Se 0.2082 0.5000 0.2603  2 Cr 2.36
Br 0.6286 0.0000 0.0063  1 Cr 2.33
Br 0.9373 0.5000 0.6893  2 Cr 2.56

Calculated values
Offset from the most stable computed form (meV/atom): 0
DFT total energy (eV for the cell shown): -18.10
Calculated density (g/cm³): 3.9

***

Here is a geometry-optimized TmInCo2 structure from the Alexandria database. Energies are from PBE.

Cell lengths 6.3712, 6.3712, 6.3712 Å; angles 90.00, 90.00, 90.00 degrees
Closest atoms and distances in Å follow each position.
Space group Fm-3m (No. 225)
Symmetry-distinct sites (fractional):
Tm 0.0000 0.0000 0.0000  8 Co 2.76
In 0.0000 0.0000 0.5000  8 Co 2.76
Co 0.2500 0.2500 0.2500  4 In 2.76, 4 Tm 2.76

Calculated values
Calculated formation energy (eV per atom): -0.156
DFT total energy (eV for the cell shown): -88.18
Calculated density (g/cm³): 10.3

***

Here is a geometry-optimized Cs2CeI4 structure from the Alexandria database. Energies are from PBE.

Cell lengths 6.3085, 6.3085, 19.3984 Å; angles 90.00, 90.00, 90.00 degrees
Closest atoms and distances in Å follow each position.
Space group I4/mmm (No. 139)
Symmetry-distinct sites (fractional):
Cs 0.0000 0.0000 0.1360  5 I 3.83-4.11
Ce 0.0000 0.0000 0.5000  6 I 3.15-3.23
I 0.0000 0.0000 0.3336  1 Ce 3.23
I 0.0000 0.5000 0.0000  2 Ce 3.15

Calculated values
Offset from the most stable computed form (meV/atom): 0
DFT total energy (eV for the cell shown): -46.54
Calculated density (g/cm³): 3.9

***

Here is a geometry-optimized Sr5GaSi2 structure from the Alexandria database. Energies are from PBE.

Cell lengths 8.1696, 8.1696, 16.1704 Å; angles 90.00, 90.00, 90.00 degrees
Closest atoms and distances in Å follow each position.
Space group I4/mcm (No. 140)
Symmetry-distinct sites (fractional):
Sr 0.0000 0.0000 0.0000  4 Si 3.33
Sr 0.1781 0.3219 0.1391  3 Si 3.29-3.36, 2 Ga 3.50
Ga 0.0000 0.0000 0.2500  8 Sr 3.50
Si 0.1061 0.3939 0.5000  1 Si 2.45

Calculated values
DFT total energy (eV for the cell shown): -100.96
Calculated density (g/cm³): 3.5